# DyW4O12

A geometry-optimized DyW4O12 structure (GGA+U, Alexandria via LeMat-Bulk).

The structure in POSCAR format:
```
DyW4O12
1.0
-3.769 3.914 3.923
3.769 -3.914 3.923
3.769 3.914 -3.923
Dy W O
1 4 12
direct
0.000 0.000 0.000
0.000 0.000 0.500
0.000 0.500 0.000
0.500 0.000 0.000
0.500 0.500 0.500
0.004 0.709 0.295
0.238 0.194 0.432
0.238 0.806 0.044
0.244 0.049 0.806
0.244 0.438 0.194
0.414 0.709 0.705
0.586 0.291 0.295
0.756 0.562 0.806
0.756 0.951 0.194
0.762 0.194 0.956
0.762 0.806 0.568
0.996 0.291 0.705
```

final energy	-130.2	eV for the cell shown